1.
VASP calculation (PBE-GGA) on crystalline ErTm2Pb5 at its relaxed geometry.

Cell and atoms, written as POSCAR:
```
ErTm2Pb5
1.0
-3.965 3.965 3.593
3.965 -3.965 3.593
3.965 3.965 -3.593
Er Tm Pb
1 2 5
direct
0.000 0.000 0.000 Er
0.001 0.501 0.500 Tm
0.501 0.001 0.500 Tm
0.001 0.001 0.500 Pb
0.001 0.500 0.000 Pb
0.500 0.001 0.000 Pb
0.500 0.500 0.500 Pb
0.501 0.501 0.000 Pb
```

Values from the calculation:
DFT total energy = -4.29 eV per atom
formation energy from the elements = -0.28 eV per atom
space group = I4mm, No. 107
mass density = 11.3 g/cm3

---

2.
VASP calculation (PBE-GGA) on crystalline Ac2Cd3Ag2 at its relaxed geometry.

Cell and atoms, written as POSCAR:
```
Ac2Cd3Ag2
1.0
2.346 -10.825 0.000
2.346 10.825 0.000
0.000 0.000 3.974
Ac Cd Ag
2 3 2
direct
0.160 0.840 0.000 Ac
0.840 0.160 0.000 Ac
0.000 0.000 0.000 Cd
0.431 0.569 0.500 Cd
0.569 0.431 0.500 Cd
0.288 0.712 0.500 Ag
0.712 0.288 0.500 Ag
```

Values from the calculation:
DFT total energy = -2.57 eV per atom
formation energy from the elements = -0.19 eV per atom
energy relative to the lowest polymorph listed for this composition = 111 meV/atom
space group = Cmmm, No. 65
mass density = 8.3 g/cm3